Record 1
## Sr2La2Cu (GGA-PBE)

Data for a relaxed Sr2La2Cu crystal.

Structure (POSCAR):
```
Sr2La2Cu
1.0
7.7350 0.0000 0.0000
0.0000 7.7350 0.0000
0.0000 0.0000 6.4532
La Sr Cu
4 4 2
Direct
0.6495 0.1495 0.0000
0.8505 0.6495 0.0000
0.1495 0.3505 0.0000
0.3505 0.8505 0.0000
0.3264 0.1736 0.5000
0.6736 0.8264 0.5000
0.8264 0.3264 0.5000
0.1736 0.6736 0.5000
0.0000 0.0000 0.0000
0.5000 0.5000 0.0000
```

- Calculated volume: 38.6 Å³ per atom
- M_tot: 0.28 μB/atom
- Mass density: 4444 kg/m³
- VASP energy: -3.264 eV/atom


Record 2
## MnGe2Ir (GGA-PBE)

Data for a relaxed MnGe2Ir crystal.

Structure (POSCAR):
```
MnGe2Ir
1.0
-3.1943 -1.7277 -3.0516
0.1407 -3.3718 3.4171
-3.8085 2.6040 2.5988
Ir Ge Mn
2 4 2
Direct
0.4485 0.2090 0.4186
0.5616 0.7151 0.7585
0.5753 0.7352 0.2523
0.4852 0.2155 0.9139
0.0664 0.8050 0.5889
0.9806 0.3339 0.2462
0.0866 0.8518 0.0784
0.9902 0.3082 0.7621
```

- Calculated volume: 14.7 Å³ per atom
- M_tot: 0.61 μB/atom
- Mass density: 11083 kg/m³
- VASP energy: -6.928 eV/atom


Q: The lowest M_tot belongs to which entry?
A: Sr2La2Cu